The following is a PBE calculation of a relaxed structure of Pr6ThS8, from Alexandria via LeMat-Bulk.

Properties
DOS(E_F): 10.97 states/eV/cell
total DFT energy (no corrections): -6.60 eV/atom
space group: No. 225

```
Pr6ThS8
1.0
0.3649 6.9561 4.3139
4.9713 0.5394 6.4904
6.7062 4.6937 -0.3552
Pr Th S
6 1 8
direct
0.0000 0.5000 0.5000
0.5000 0.0000 0.0000
0.5000 0.5000 0.0000
0.0000 0.0000 0.5000
0.0000 0.5000 0.0000
0.5000 0.0000 0.5000
0.0000 0.0000 0.0000
0.7500 0.7500 0.7500
0.2500 0.2500 0.2500
0.7527 0.2473 0.2473
0.2473 0.7527 0.7527
0.2473 0.2473 0.7527
0.7527 0.7527 0.2473
0.7527 0.2473 0.7527
0.2473 0.7527 0.2473
```